Entry 1:
First-principles (GGA-PBE) data for an optimized crystal structure of CaSn3Te, as listed in Alexandria.

## Properties
Energy above the most stable polymorph in this dataset in eV per formula unit: 0.000
Crystal system: cubic
Total energy in eV/atom: -3.12
Raw formation energy in eV per formula unit: 1.5
Space group: Pm-3m

a = 5.832 Å, b = 5.832 Å, c = 5.832 Å
α = 90.00°, β = 90.00°, γ = 90.00°
Sites, in units of the cell vectors:
Ca 0.500 0.500 0.500
Te 0.000 0.000 0.000
Sn 0.000 0.500 0.000
Sn 0.000 0.000 0.500
Sn 0.500 0.000 0.000

=====

Entry 2:
First-principles (GGA-PBE) data for an optimized crystal structure of BaLa2Os, as listed in Alexandria.

## Properties
Energy above the most stable polymorph in this dataset in eV per formula unit: 1.876
Crystal system: tetragonal
Total energy in eV/atom: -5.33
Formation enthalpy at 0 K in eV per atom: 0.42
Space group: I4/mmm

a = 5.284 Å, b = 5.284 Å, c = 5.284 Å
α = 114.59°, β = 114.59°, γ = 99.65°
Sites, in units of the cell vectors:
Os 0.250 0.750 0.500
Ba 0.750 0.250 0.500
La 0.000 0.000 0.000
La 0.500 0.500 0.000

=====

Entry 3:
First-principles (GGA-PBE) data for an optimized crystal structure of PmScNi2, as listed in Alexandria.

## Properties
Energy above the most stable polymorph in this dataset in eV per formula unit: 0.000
Crystal system: orthorhombic
Total energy in eV/atom: -6.04
Formation enthalpy at 0 K in eV per atom: -0.38
Space group: Amm2

a = 3.653 Å, b = 4.173 Å, c = 5.347 Å
α = 90.00°, β = 110.05°, γ = 90.00°
Sites, in units of the cell vectors:
Pm 0.437 0.500 0.414
Sc 0.716 0.000 0.971
Ni 0.160 0.500 0.859
Ni 0.018 0.000 0.575

=====

Entry 4:
First-principles (GGA-PBE) data for an optimized crystal structure of HgBTe2N, as listed in Alexandria.

## Properties
Energy above the most stable polymorph in this dataset in eV per formula unit: 9.570
Crystal system: tetragonal
Total energy in eV/atom: -2.31
Raw formation energy in eV per formula unit: 10.0
Space group: P4/mmm

a = 5.824 Å, b = 5.824 Å, c = 4.034 Å
α = 90.00°, β = 90.00°, γ = 90.00°
Sites, in units of the cell vectors:
B 0.500 0.500 0.500
Te 0.000 0.500 0.000
Te 0.500 0.000 0.000
Hg 0.000 0.000 0.000
N 0.000 0.000 0.500

=====

Entry 5:
First-principles (GGA-PBE) data for an optimized crystal structure of SrGa2Rh, as listed in Alexandria.

## Properties
Crystal system: orthorhombic
Total energy in eV/atom: -4.37
Formation enthalpy at 0 K in eV per atom: -0.60
Space group: Pnma

a = 6.252 Å, b = 6.880 Å, c = 7.670 Å
α = 90.00°, β = 90.00°, γ = 90.00°
Sites, in units of the cell vectors:
Sr 0.388 0.250 0.033
Sr 0.888 0.750 0.467
Sr 0.612 0.750 0.967
Sr 0.112 0.250 0.533
Ga 0.915 0.059 0.154
Ga 0.415 0.941 0.346
Ga 0.085 0.559 0.846
Ga 0.585 0.441 0.654
Ga 0.085 0.941 0.846
Ga 0.585 0.059 0.654
Ga 0.915 0.441 0.154
Ga 0.415 0.559 0.346
Rh 0.656 0.250 0.358
Rh 0.156 0.750 0.142
Rh 0.344 0.750 0.642
Rh 0.844 0.250 0.858

=====

Entry 6:
First-principles (GGA-PBE) data for an optimized crystal structure of InGa2Fe, as listed in Alexandria.

## Properties
Crystal system: tetragonal
Total energy in eV/atom: -4.07
Formation enthalpy at 0 K in eV per atom: 0.24
Space group: I-42d

a = 4.136 Å, b = 4.136 Å, c = 9.349 Å
α = 77.22°, β = 77.22°, γ = 90.00°
Sites, in units of the cell vectors:
Fe 0.500 0.500 0.000
Fe 0.250 0.750 0.500
Ga 0.560 0.125 0.250
Ga 0.190 0.625 0.250
Ga 0.375 0.440 0.750
Ga 0.875 0.810 0.750
In 0.000 0.000 0.000
In 0.750 0.250 0.500

=====

What is the formula in the first record? CaSn3Te